This record from Alexandria via LeMat-Bulk describes an optimized crystal structure of PmCo2MoO6. The functional is PBE with a Hubbard U.

Values from the calculation:
total energy	-6.932	eV/atom

Geometry as CIF:
```
data_PmCo2MoO6
_chemical_formula_sum 'Pm1 Co2 Mo1 O6'
_cell_length_a 5.2532
_cell_length_b 5.3436
_cell_length_c 5.6251
_cell_angle_alpha 62.33
_cell_angle_beta 63.21
_cell_angle_gamma 60.80
_symmetry_space_group_name_H-M 'P 1'
_symmetry_Int_Tables_number 1
_symmetry_space_group_name_Hall 'P 1'
loop_
_atom_site_label
_atom_site_type_symbol
_atom_site_fract_x
_atom_site_fract_y
_atom_site_fract_z
_atom_site_occupancy
Pm1 Pm 0.0000 0.0000 0.0000 1
Co1 Co 0.2090 0.2087 0.3597 1
Co2 Co 0.7313 0.7262 0.7948 1
Mo1 Mo 0.5145 0.5344 0.4226 1
O1 O 0.1140 0.8310 0.5951 1
O2 O 0.3626 0.5386 0.1472 1
O3 O 0.4369 0.1041 0.6091 1
O4 O 0.5395 0.9499 0.1402 1
O5 O 0.8336 0.4228 0.6089 1
O6 O 0.9344 0.3699 0.1357 1
```

---

This record from Alexandria via LeMat-Bulk describes an optimized crystal structure of Pm2CoMoO6. The functional is PBE with a Hubbard U.

Values from the calculation:
total energy	-7.298	eV/atom

Geometry as CIF:
```
data_Pm2CoMoO6
_chemical_formula_sum 'Pm2 Co1 Mo1 O6'
_cell_length_a 5.5274
_cell_length_b 5.5274
_cell_length_c 4.1577
_cell_angle_alpha 90.00
_cell_angle_beta 90.00
_cell_angle_gamma 90.00
_symmetry_space_group_name_H-M 'P 4 m m'
_symmetry_Int_Tables_number 99
_symmetry_space_group_name_Hall 'P 4 -2'
loop_
_atom_site_label
_atom_site_type_symbol
_atom_site_fract_x
_atom_site_fract_y
_atom_site_fract_z
_atom_site_occupancy
Pm1 Pm 0.0000 0.5000 0.0000 1
Co1 Co 0.0000 0.0000 0.6057 1
Mo1 Mo 0.5000 0.5000 0.5709 1
O1 O 0.0000 0.0000 0.1261 1
O2 O 0.2403 0.2403 0.6505 1
O3 O 0.5000 0.5000 0.0825 1
```

---

This record from Alexandria via LeMat-Bulk describes an optimized crystal structure of PmCoMo2O8. The functional is PBE with a Hubbard U.

Values from the calculation:
total energy	-7.184	eV/atom

Geometry as CIF:
```
data_PmCoMo2O8
_chemical_formula_sum 'Pm2 Co2 Mo4 O16'
_cell_length_a 5.1802
_cell_length_b 5.1802
_cell_length_c 11.2006
_cell_angle_alpha 90.00
_cell_angle_beta 90.00
_cell_angle_gamma 90.00
_symmetry_space_group_name_H-M 'I -4'
_symmetry_Int_Tables_number 82
_symmetry_space_group_name_Hall 'I -4'
loop_
_atom_site_label
_atom_site_type_symbol
_atom_site_fract_x
_atom_site_fract_y
_atom_site_fract_z
_atom_site_occupancy
Pm1 Pm 0.0000 0.0000 0.0000 1
Co1 Co 0.0000 0.5000 0.2500 1
Mo1 Mo 0.0000 0.0000 0.5000 1
Mo2 Mo 0.0000 0.5000 0.7500 1
O1 O 0.1718 0.2391 0.4127 1
O2 O 0.1878 0.7603 0.8320 1
```

---

This record from Alexandria via LeMat-Bulk describes an optimized crystal structure of Co2ReMoO. The functional is PBE with a Hubbard U.

Values from the calculation:
total energy	-5.497	eV/atom

Geometry as CIF:
```
data_Co2ReMoO
_chemical_formula_sum 'Co2 Re1 Mo1 O1'
_cell_length_a 4.7811
_cell_length_b 4.7811
_cell_length_c 3.6655
_cell_angle_alpha 90.00
_cell_angle_beta 90.00
_cell_angle_gamma 90.00
_symmetry_space_group_name_H-M 'P 4/m m m'
_symmetry_Int_Tables_number 123
_symmetry_space_group_name_Hall '-P 4 2'
loop_
_atom_site_label
_atom_site_type_symbol
_atom_site_fract_x
_atom_site_fract_y
_atom_site_fract_z
_atom_site_occupancy
Co1 Co 0.0000 0.5000 0.0000 1
Re1 Re 0.0000 0.0000 0.5000 1
Mo1 Mo 0.5000 0.5000 0.0000 1
O1 O 0.5000 0.5000 0.5000 1
```

---

This record from Alexandria via LeMat-Bulk describes an optimized crystal structure of Co2MoSO. The functional is PBE with a Hubbard U.

Values from the calculation:
total energy	-5.217	eV/atom

Geometry as CIF:
```
data_Co2MoSO
_chemical_formula_sum 'Co2 Mo1 S1 O1'
_cell_length_a 4.0995
_cell_length_b 4.0995
_cell_length_c 4.3731
_cell_angle_alpha 90.00
_cell_angle_beta 90.00
_cell_angle_gamma 90.00
_symmetry_space_group_name_H-M 'P 4/m m m'
_symmetry_Int_Tables_number 123
_symmetry_space_group_name_Hall '-P 4 2'
loop_
_atom_site_label
_atom_site_type_symbol
_atom_site_fract_x
_atom_site_fract_y
_atom_site_fract_z
_atom_site_occupancy
Co1 Co 0.0000 0.5000 0.0000 1
Mo1 Mo 0.0000 0.0000 0.5000 1
S1 S 0.5000 0.5000 0.5000 1
O1 O 0.0000 0.0000 0.0000 1
```

---

This record from Alexandria via LeMat-Bulk describes an optimized crystal structure of CoSbMo2O. The functional is PBE with a Hubbard U.

Values from the calculation:
total energy	-5.346	eV/atom

Geometry as CIF:
```
data_CoSbMo2O
_chemical_formula_sum 'Co1 Sb1 Mo2 O1'
_cell_length_a 4.5106
_cell_length_b 4.5106
_cell_length_c 4.4312
_cell_angle_alpha 90.00
_cell_angle_beta 90.00
_cell_angle_gamma 90.00
_symmetry_space_group_name_H-M 'P 4/m m m'
_symmetry_Int_Tables_number 123
_symmetry_space_group_name_Hall '-P 4 2'
loop_
_atom_site_label
_atom_site_type_symbol
_atom_site_fract_x
_atom_site_fract_y
_atom_site_fract_z
_atom_site_occupancy
Co1 Co 0.0000 0.0000 0.0000 1
Sb1 Sb 0.5000 0.5000 0.0000 1
Mo1 Mo 0.0000 0.5000 0.5000 1
O1 O 0.0000 0.0000 0.5000 1
```